Entry 1:
This record from the Alexandria database describes a relaxed SmTm4Co crystal. The functional is PBE.

Values from the calculation:
As for the crystal system: monoclinic. The energy of formation from the pure elements is -1.365 kcal/mol of atoms.

CIF file:
```
data_SmTm4Co
_symmetry_space_group_name_H-M 'C 1 2/m 1'
_symmetry_Int_Tables_number 12
_cell_length_a 11.804
_cell_length_b 3.508
_cell_length_c 8.298
_cell_angle_alpha 90.00
_cell_angle_beta 111.36
_cell_angle_gamma 90.00
loop_
_symmetry_equiv_pos_as_xyz
'x,y,z'
'-x,-y,-z'
'-x,y,-z'
'x,-y,z'
'x+1/2,y+1/2,z'
'-x+1/2,-y+1/2,-z'
'-x+1/2,y+1/2,-z'
'x+1/2,-y+1/2,z'
loop_
_atom_site_label
_atom_site_type_symbol
_atom_site_fract_x
_atom_site_fract_y
_atom_site_fract_z
Sm1 Sm 0.000 0.000 0.000
Tm1 Tm 0.127 0.500 0.380
Tm2 Tm 0.170 0.500 0.789
Co1 Co 0.000 0.000 0.500
```



Entry 2:
This record from the Alexandria database describes a relaxed Nd4GaS2Br crystal. The functional is PBE.

Values from the calculation:
As for the crystal system: monoclinic. The formation energy (no corrections) is -11.7 eV per formula unit.

CIF file:
```
data_Nd4GaS2Br
_symmetry_space_group_name_H-M 'P 1 2/m 1'
_symmetry_Int_Tables_number 10
_cell_length_a 7.305
_cell_length_b 4.053
_cell_length_c 7.411
_cell_angle_alpha 90.00
_cell_angle_beta 107.98
_cell_angle_gamma 90.00
loop_
_symmetry_equiv_pos_as_xyz
'x,y,z'
'-x,-y,-z'
'-x,y,-z'
'x,-y,z'
loop_
_atom_site_label
_atom_site_type_symbol
_atom_site_fract_x
_atom_site_fract_y
_atom_site_fract_z
Nd1 Nd 0.223 0.000 0.224
Nd2 Nd 0.232 0.500 0.753
Ga1 Ga 0.500 0.000 0.000
S1 S 0.000 0.000 0.500
S2 S 0.000 0.500 0.000
Br1 Br 0.500 0.500 0.500
```



Entry 3:
This record from the Alexandria database describes a relaxed CaMg2Al crystal. The functional is PBE.

Values from the calculation:
As for the crystal system: orthorhombic. The energy of formation from the pure elements is -0.794 kcal/mol of atoms.

CIF file:
```
data_CaMg2Al
_symmetry_space_group_name_H-M 'I m m m'
_symmetry_Int_Tables_number 71
_symmetry_space_group_name_Hall '-I 2 2'
_cell_length_a 3.635
_cell_length_b 5.221
_cell_length_c 10.539
_cell_angle_alpha 90.00
_cell_angle_beta 90.00
_cell_angle_gamma 90.00
loop_
_atom_site_label
_atom_site_type_symbol
_atom_site_fract_x
_atom_site_fract_y
_atom_site_fract_z
Ca1 Ca 0.000 0.000 0.000
Mg1 Mg 0.000 0.500 0.223
Al1 Al 0.000 0.000 0.500
```



Entry 4:
This record from the Alexandria database describes a relaxed ZrPb2Au crystal. The functional is PBE.

Values from the calculation:
As for the crystal system: orthorhombic. The energy of formation from the pure elements is -1.732 kcal/mol of atoms. For the distance to the lowest polymorph of the same formula, the calculation gives 101 meV/atom.

CIF file:
```
data_ZrPb2Au
_symmetry_space_group_name_H-M 'C m m m'
_symmetry_Int_Tables_number 65
_symmetry_space_group_name_Hall '-C 2 2'
_cell_length_a 7.401
_cell_length_b 7.438
_cell_length_c 3.455
_cell_angle_alpha 90.00
_cell_angle_beta 90.00
_cell_angle_gamma 90.00
loop_
_atom_site_label
_atom_site_type_symbol
_atom_site_fract_x
_atom_site_fract_y
_atom_site_fract_z
Zr1 Zr 0.000 0.000 0.000
Pb1 Pb 0.250 0.250 0.500
Au1 Au 0.000 0.500 0.000
```



Entry 5:
This record from the Alexandria database describes a relaxed Rh2C crystal. The functional is PBE.

Values from the calculation:
As for the crystal system: tetragonal. The energy of formation from the pure elements is 11.044 kcal/mol of atoms. For the distance to the lowest polymorph of the same formula, the calculation gives 287 meV/atom.

CIF file:
```
data_Rh2C
_symmetry_space_group_name_H-M 'P 4/m m m'
_symmetry_Int_Tables_number 123
_symmetry_space_group_name_Hall '-P 4 2'
_cell_length_a 3.018
_cell_length_b 3.018
_cell_length_c 4.005
_cell_angle_alpha 90.00
_cell_angle_beta 90.00
_cell_angle_gamma 90.00
loop_
_atom_site_label
_atom_site_type_symbol
_atom_site_fract_x
_atom_site_fract_y
_atom_site_fract_z
Rh1 Rh 0.000 0.000 0.000
Rh2 Rh 0.500 0.500 0.500
C1 C 0.000 0.000 0.500
```



Entry 6:
This record from the Alexandria database describes a relaxed Th2SiPb crystal. The functional is PBE.

Values from the calculation:
As for the crystal system: trigonal. The formation energy (no corrections) is -1.8 eV per formula unit. For the distance to the lowest polymorph of the same formula, the calculation gives 0 meV/atom.

CIF file:
```
data_Th2SiPb
_symmetry_space_group_name_H-M 'R -3 m'
_symmetry_Int_Tables_number 166
_symmetry_space_group_name_Hall '-R 3 2"'
_cell_length_a 4.3192
_cell_length_b 4.3192
_cell_length_c 22.6349
_cell_angle_alpha 90.00
_cell_angle_beta 90.00
_cell_angle_gamma 120.00
loop_
_atom_site_label
_atom_site_type_symbol
_atom_site_fract_x
_atom_site_fract_y
_atom_site_fract_z
Th1 Th 0.0000 0.0000 0.2403
Si1 Si 0.0000 0.0000 0.5000
Pb1 Pb 0.0000 0.0000 0.0000
```



Repeat the second record exactly.
This record from the Alexandria database describes a relaxed Nd4GaS2Br crystal. The functional is PBE.

Values from the calculation:
As for the crystal system: monoclinic. The formation energy (no corrections) is -11.7 eV per formula unit.

CIF file:
```
data_Nd4GaS2Br
_symmetry_space_group_name_H-M 'P 1 2/m 1'
_symmetry_Int_Tables_number 10
_cell_length_a 7.305
_cell_length_b 4.053
_cell_length_c 7.411
_cell_angle_alpha 90.00
_cell_angle_beta 107.98
_cell_angle_gamma 90.00
loop_
_symmetry_equiv_pos_as_xyz
'x,y,z'
'-x,-y,-z'
'-x,y,-z'
'x,-y,z'
loop_
_atom_site_label
_atom_site_type_symbol
_atom_site_fract_x
_atom_site_fract_y
_atom_site_fract_z
Nd1 Nd 0.223 0.000 0.224
Nd2 Nd 0.232 0.500 0.753
Ga1 Ga 0.500 0.000 0.000
S1 S 0.000 0.000 0.500
S2 S 0.000 0.500 0.000
Br1 Br 0.500 0.500 0.500
```